(1)
K3Y3IrO8 | PBE-GGA | relaxed

extended XYZ file:
```
15
Lattice="3.3911 1.9579 6.2737 -3.3911 1.9579 6.2737 0.0000 -3.9157 6.2737" Properties=species:S:1:pos:R:3 pbc="T T T"
K -1.6956 -0.9789 6.2737
K -1.6956 0.9789 12.5474
K 0.0000 1.9579 6.2737
Y -3.3911 0.0000 9.4105
Y -1.6956 0.9789 3.1368
Y 1.6956 0.9789 3.1368
Ir 0.0000 0.0000 9.4105
O 0.0000 0.0000 4.2886
O -1.5621 -0.9019 10.5063
O 0.0000 -1.8038 8.3147
O -1.5621 0.9019 8.3147
O 1.5621 -0.9019 10.5063
O 0.0000 1.8038 10.5063
O 1.5621 0.9019 8.3147
O 0.0000 0.0000 14.5325
```

Output
**Total moment**: 1.06 μB/cell
**Space-group type**: R-3m
**Uncorrected formation energy**: -2317 meV/atom



(2)
K2ZnIrO6 | PBE-GGA | relaxed

extended XYZ file:
```
10
Lattice="0.0000 4.0224 4.0224 4.0224 0.0000 4.0224 4.0224 4.0224 0.0000" Properties=species:S:1:pos:R:3 pbc="T T T"
K 2.0112 2.0112 2.0112
K 6.0336 6.0336 6.0336
Zn 0.0000 0.0000 0.0000
Ir 4.0224 4.0224 4.0224
O 4.0224 4.0224 2.1218
O 4.0224 2.1218 4.0224
O 5.9230 4.0224 4.0224
O 2.1218 4.0224 4.0224
O 4.0224 5.9230 4.0224
O 4.0224 4.0224 5.9230
```

Output
**Total moment**: 0.00 μB/cell
**Space-group type**: Fm-3m
**Uncorrected formation energy**: -987 meV/atom